# SbW3C2

An optimized crystal structure of SbW3C2 (PBE, the Open Quantum Materials Database).

POSCAR file:
```
SbW3C2
1.0
3.1758 0.0000 0.0000
-1.5879 2.7503 0.0000
0.0000 0.0000 18.5639
Sb C W
2 4 6
Direct
0.0000 0.0000 0.2500
0.0000 0.0000 0.7500
0.3333 0.6667 0.0692
0.6667 0.3333 0.5692
0.3333 0.6667 0.4308
0.6667 0.3333 0.9308
0.6667 0.3333 0.1267
0.0000 0.0000 0.5000
0.3333 0.6667 0.6267
0.0000 0.0000 0.0000
0.6667 0.3333 0.3733
0.3333 0.6667 0.8733
```



# Y4Sb3W2C3

An optimized crystal structure of Y4Sb3W2C3 (PBE, the Open Quantum Materials Database).

POSCAR file:
```
Y4Sb3W2C3
1.0
5.2404 -3.0677 0.0000
5.2404 3.0677 0.0000
-3.3542 0.0000 14.1744
Y C Sb W
8 6 6 4
Direct
0.0406 0.1858 0.0948
0.8785 0.6981 0.5951
0.8142 0.9594 0.4052
0.9594 0.8142 0.9052
0.1215 0.3019 0.4049
0.1858 0.0406 0.5948
0.6981 0.8785 0.0951
0.3019 0.1215 0.9049
0.0000 0.5000 0.0000
0.5000 0.0000 0.5000
0.2087 0.6446 0.4993
0.6446 0.2087 0.9993
0.7913 0.3554 0.5007
0.3554 0.7913 0.0007
0.1425 0.8575 0.2500
0.4154 0.2819 0.2500
0.2819 0.4154 0.7500
0.5846 0.7181 0.7500
0.7181 0.5846 0.2500
0.8575 0.1425 0.7500
0.4791 0.6622 0.4308
0.6622 0.4791 0.9308
0.3378 0.5209 0.0692
0.5209 0.3378 0.5692
```



# Y2Sb3W4C3

An optimized crystal structure of Y2Sb3W4C3 (PBE, the Open Quantum Materials Database).

POSCAR file:
```
Y2Sb3W4C3
1.0
5.0082 -2.9951 0.0000
5.0082 2.9951 0.0000
-1.5937 0.0000 13.9150
C Y W Sb
6 4 8 6
Direct
0.0000 0.5000 0.0000
0.3283 0.8525 0.0045
0.5000 0.0000 0.5000
0.8525 0.3283 0.5045
0.6717 0.1475 0.9955
0.1475 0.6717 0.4955
0.3634 0.5200 0.1077
0.4800 0.6367 0.3923
0.5200 0.3634 0.6077
0.6367 0.4800 0.8923
0.3098 0.1732 0.9358
0.6902 0.8268 0.0642
0.1914 0.9837 0.5689
0.8086 0.0163 0.4311
0.8268 0.6902 0.5642
0.9837 0.1914 0.0689
0.1732 0.3098 0.4358
0.0163 0.8086 0.9311
0.4570 0.1659 0.2680
0.0465 0.9535 0.2500
0.5430 0.8341 0.7320
0.8341 0.5430 0.2320
0.1659 0.4570 0.7680
0.9535 0.0465 0.7500
```



# ZnSbW4C2

An optimized crystal structure of ZnSbW4C2 (PBE, the Open Quantum Materials Database).

POSCAR file:
```
ZnSbW4C2
1.0
3.1495 0.0000 0.0000
-1.5747 2.7275 0.0000
0.0000 0.0000 13.3052
Sb W Zn C
1 4 1 2
Direct
0.3333 0.6667 0.0000
0.6667 0.3333 0.1712
0.3333 0.6667 0.3403
0.6667 0.3333 0.8288
0.3333 0.6667 0.6597
0.6667 0.3333 0.5000
0.0000 0.0000 0.2552
0.0000 0.0000 0.7448
```



The DFT total energy results, record by record, are as follows: -118.36; -192.90; -211.95; -73.38 eV/cell.